Entry 1:
Mg2Sc2Se | PBE-GGA | relaxed

Geometry as POSCAR:
```
Mg2Sc2Se
1.0
6.961 0.000 0.000
0.000 6.961 0.000
0.000 0.000 5.033
Sc Mg Se
4 4 2
Direct
0.341 0.841 0.000
0.659 0.159 0.000
0.159 0.341 0.000
0.841 0.659 0.000
0.646 0.854 0.500
0.854 0.354 0.500
0.146 0.646 0.500
0.354 0.146 0.500
0.000 0.000 0.000
0.500 0.500 0.000
```

Computed properties:
Formation energy (no corrections) ... -455 meV/atom
Final energy ... -4.323 eV per atom

Entry 2:
Tb5Dy4Th2 | PBE-GGA | relaxed

Geometry as POSCAR:
```
Tb5Dy4Th2
1.0
3.472 0.000 0.000
0.000 7.627 0.000
-1.736 -3.813 14.089
Th Dy Tb
2 4 5
Direct
0.102 0.102 0.204
0.898 0.898 0.796
0.397 0.397 0.793
0.000 0.320 0.000
0.000 0.680 0.000
0.603 0.603 0.207
0.500 0.000 0.000
0.196 0.940 0.392
0.196 0.452 0.392
0.804 0.548 0.608
0.804 0.060 0.608
```

Computed properties:
Final energy ... -4.710 eV per atom
Formation enthalpy at 0 K ... 9.62 kcal/mol of atoms
Energy relative to the lowest polymorph listed for this composition ... 279.0 meV/atom

Entry 3:
ThInCl2 | PBE-GGA | relaxed

Geometry as POSCAR:
```
ThInCl2
1.0
-3.022 2.115 -0.722
-2.402 0.851 2.762
3.835 9.800 2.874
Cl Th In
2 1 1
Direct
0.918 0.918 0.246
0.082 0.082 0.754
0.000 0.000 0.000
0.500 0.500 0.500
```

Computed properties:
Formation energy (no corrections) ... -848 meV/atom
Final energy ... -4.311 eV per atom

Entry 4:
Sc5Ga5Pt2 | PBE-GGA | relaxed

Geometry as POSCAR:
```
Sc5Ga5Pt2
1.0
4.211 0.000 0.950
2.223 7.350 -0.045
0.531 -1.087 7.455
Pt Ga Sc
2 5 5
Direct
0.430 0.413 0.727
0.570 0.587 0.273
0.000 0.000 0.000
0.294 0.747 0.665
0.706 0.253 0.335
0.997 0.764 0.242
0.003 0.236 0.758
0.704 0.665 0.927
0.666 0.995 0.673
0.000 0.500 0.500
0.334 0.005 0.327
0.296 0.335 0.073
```

Computed properties:
Final energy ... -5.712 eV per atom
Formation enthalpy at 0 K ... -18.58 kcal/mol of atoms

Entry 5:
TmTaP2Rh5 | PBE-GGA | relaxed

Geometry as POSCAR:
```
TmTaP2Rh5
1.0
3.984 0.000 0.000
0.000 3.984 0.000
0.000 0.000 10.352
Rh P Tm Ta
5 2 1 1
Direct
0.500 0.000 0.831
0.000 0.500 0.831
0.000 0.500 0.169
0.500 0.000 0.169
0.000 0.000 0.500
0.000 0.000 0.284
0.000 0.000 0.716
0.500 0.500 0.500
0.000 0.000 0.000
```

Computed properties:
Final energy ... -7.518 eV per atom
Formation enthalpy at 0 K ... -9.64 kcal/mol of atoms

Entry 6:
Re2SnPtBr | PBE-GGA | relaxed

Geometry as POSCAR:
```
Re2SnPtBr
1.0
-3.853 -1.713 -2.915
-2.474 -1.663 4.247
-2.336 4.543 0.418
Br Pt Re Sn
1 1 2 1
Direct
0.000 0.500 0.000
0.500 0.500 0.500
0.000 0.000 0.500
0.500 0.000 0.000
0.000 0.000 0.000
```

Computed properties:
Formation energy (no corrections) ... 2604 meV/atom
Final energy ... -4.718 eV per atom

Entry 7:
NdFeTe2 | PBE-GGA | relaxed

Geometry as POSCAR:
```
NdFeTe2
1.0
-1.096 3.317 -1.246
-2.732 1.820 1.727
5.066 5.913 5.765
Te Fe Nd
2 1 1
Direct
0.112 0.112 0.664
0.888 0.888 0.336
0.500 0.500 0.500
0.000 0.000 0.000
```

Computed properties:
Formation energy (no corrections) ... -77 meV/atom
Final energy ... -4.956 eV per atom

Entry 8:
Mn2AlTl | PBE-GGA | relaxed

Geometry as POSCAR:
```
Mn2AlTl
1.0
4.019 0.000 0.000
0.000 4.019 0.000
0.000 0.000 3.922
Tl Al Mn
1 1 2
Direct
0.500 0.000 0.500
0.000 0.500 0.500
0.500 0.500 0.000
0.000 0.000 0.000
```

Computed properties:
Final energy ... -5.837 eV per atom
Formation enthalpy at 0 K ... 6.35 kcal/mol of atoms
Energy relative to the lowest polymorph listed for this composition ... 58.4 meV/atom

Entry 9:
DyPaAl2 | PBE-GGA | relaxed

Geometry as POSCAR:
```
DyPaAl2
1.0
3.245 0.000 0.000
0.000 3.245 0.000
0.000 0.000 8.525
Al Pa Dy
2 1 1
Direct
0.000 0.000 0.751
0.000 0.000 0.249
0.500 0.500 0.000
0.500 0.500 0.500
```

Computed properties:
Final energy ... -5.638 eV per atom
Formation enthalpy at 0 K ... -5.59 kcal/mol of atoms
Energy relative to the lowest polymorph listed for this composition ... 0.0 meV/atom

Entry 10:
TmZn2Au | PBE-GGA | relaxed

Geometry as POSCAR:
```
TmZn2Au
1.0
4.355 0.000 0.000
0.000 6.141 0.541
0.000 -0.502 5.705
Tm Zn Au
2 4 2
Direct
0.250 0.583 0.250
0.750 0.417 0.750
0.750 0.869 0.491
0.250 0.131 0.509
0.250 0.131 0.991
0.750 0.869 0.009
0.750 0.258 0.250
0.250 0.742 0.750
```

Computed properties:
Final energy ... -3.080 eV per atom
Formation enthalpy at 0 K ... -11.66 kcal/mol of atoms

Entry 11:
Sm4ScAu5 | PBE-GGA | relaxed

Geometry as POSCAR:
```
Sm4ScAu5
1.0
-1.657 0.727 -3.100
-3.104 -1.146 1.391
-3.633 17.052 5.943
Sm Au Sc
4 5 1
Direct
0.000 0.000 0.192
0.000 0.000 0.603
0.000 0.000 0.808
0.000 0.000 0.397
0.500 0.500 0.084
0.500 0.500 0.500
0.500 0.500 0.295
0.500 0.500 0.705
0.500 0.500 0.916
0.000 0.000 0.000
```

Computed properties:
Final energy ... -4.947 eV per atom
Formation enthalpy at 0 K ... -18.16 kcal/mol of atoms

Entry 12:
K2ZnBiTe4 | PBE-GGA | relaxed

Geometry as POSCAR:
```
K2ZnBiTe4
1.0
-3.766 5.766 2.303
-6.973 0.666 -1.621
-3.381 -0.169 6.343
Te K Zn Bi
4 2 1 1
Direct
0.547 0.000 0.355
0.453 0.645 0.000
0.902 0.000 0.645
0.098 0.355 0.000
0.000 0.500 0.500
0.500 0.500 0.500
0.500 0.000 0.000
0.000 0.000 0.000
```

Computed properties:
Formation energy (no corrections) ... -542 meV/atom
Final energy ... -3.031 eV per atom

Entry 13:
Li3Sb2O4 | PBE-GGA | relaxed

Geometry as POSCAR:
```
Li3Sb2O4
1.0
-4.942 1.152 -1.488
-1.725 -7.003 3.213
-0.164 4.187 6.693
Sb Li O
4 6 8
Direct
0.625 0.408 0.173
0.375 0.592 0.827
0.125 0.173 0.408
0.875 0.827 0.592
0.250 0.552 0.448
0.459 0.000 0.150
0.041 0.850 0.000
0.541 0.000 0.850
0.750 0.448 0.552
0.959 0.150 0.000
0.111 0.040 0.183
0.889 0.960 0.817
0.057 0.611 0.664
0.611 0.183 0.040
0.389 0.817 0.960
0.557 0.664 0.611
0.943 0.389 0.336
0.443 0.336 0.389
```

Computed properties:
Formation energy (no corrections) ... -1431 meV/atom
Final energy ... -5.189 eV per atom